Entry 1:
Computed, not measured: crystalline Co2Rh at its relaxed geometry at the PBE-GGA level of DFT.

abc: 4.0639 4.0639 2.5935
angles: 90.00 90.00 120.00
Last column: nearest neighbours and their distance in Å.
Space group P6/mmm (No. 191)
Inequivalent atoms, fractional coordinates:
1 Co 0.3333 0.6667 0.0000 x2  5 Co 2.35-2.59
2 Rh 0.0000 0.0000 0.5000 x1  2 Rh 2.59, 12 Co 2.68

## Properties
The calculation puts the formation energy at 0.07 eV/atom. Its crystal system is hexagonal. The calculation puts the density of states at the Fermi level at 0.773 states/eV/atom.


Entry 2:
Computed, not measured: crystalline Co2Rh at its relaxed geometry at the PBE-GGA level of DFT.

abc: 4.4578 2.6267 6.2989
angles: 90.00 90.81 90.00
Last column: nearest neighbours and their distance in Å.
Space group P2_1/m (No. 11)
Inequivalent atoms, fractional coordinates:
1 Co 0.0817 0.2500 0.1702 x2  7 Co 2.51-2.63, 5 Rh 2.56-2.65
2 Co 0.2334 0.7500 0.4938 x2  9 Co 2.46-2.72, 3 Rh 2.57
3 Rh 0.4117 0.2500 0.8236 x2  8 Co 2.56-2.65, 4 Rh 2.63-2.69

## Properties
The calculation puts the formation energy at 0.06 eV/atom. Its crystal system is monoclinic. The calculation puts the density of states at the Fermi level at 1.408 states/eV/atom.


Entry 3:
Computed, not measured: crystalline Co3Rh2 at its relaxed geometry at the PBE-GGA level of DFT.

abc: 2.6387 2.6387 17.9017
angles: 90.00 90.00 90.00
Last column: nearest neighbours and their distance in Å.
Space group I4/mmm (No. 139)
Inequivalent atoms, fractional coordinates:
1 Co 0.0000 0.0000 0.0000 x2  8 Rh 2.61, 4 Co 2.64
2 Co 0.0000 0.0000 0.2054 x4  8 Co 2.46-2.64, 4 Rh 2.63
3 Rh 0.0000 0.0000 0.3981 x4  8 Co 2.61-2.63, 4 Rh 2.64

## Properties
The calculation puts the formation energy at 0.06 eV/atom. Its crystal system is tetragonal. The value obtained for the relative energy among the computed polymorphs is 0.012 eV/f.u. The calculation puts the density of states at the Fermi level at 1.479 states/eV/atom.


Entry 4:
Computed, not measured: crystalline Co4Rh at its relaxed geometry at the PBE-GGA level of DFT.

abc: 2.5777 2.5777 30.8325
angles: 90.00 90.00 120.00
Last column: nearest neighbours and their distance in Å.
Space group R-3m (No. 166, hexagonal axes)
Inequivalent atoms, fractional coordinates:
1 Co 0.0000 0.0000 0.0964 x6  9 Co 2.47-2.58, 3 Rh 2.63
2 Co 0.0000 0.0000 0.3009 x6  12 Co 2.47-2.58
3 Rh 0.0000 0.0000 0.5000 x3  6 Rh 2.58, 6 Co 2.63

## Properties
The calculation puts the formation energy at 0.07 eV/atom. Its crystal system is trigonal. The value obtained for the relative energy among the computed polymorphs is 0.125 eV/f.u. The calculation puts the density of states at the Fermi level at 1.146 states/eV/atom.


Entry 5:
Computed, not measured: crystalline Co6Rh at its relaxed geometry at the PBE-GGA level of DFT.

abc: 5.9272 5.9272 5.9272
angles: 90.00 90.00 90.00
Last column: nearest neighbours and their distance in Å.
Space group Im-3m (No. 229)
Inequivalent atoms, fractional coordinates:
1 Co 0.0000 0.2500 0.5000 x12  4 Co 2.10
2 Rh 0.0000 0.0000 0.0000 x2  24 Co 3.31

## Properties
The calculation puts the formation energy at 1.27 eV/atom. Its crystal system is cubic. The calculation puts the density of states at the Fermi level at 1.761 states/eV/atom.


Entry 6:
Computed, not measured: crystalline CoRh3 at its relaxed geometry at the PBE-GGA level of DFT.

abc: 2.7025 2.7025 25.7358
angles: 90.00 90.00 120.00
Last column: nearest neighbours and their distance in Å.
Space group R-3m (No. 166, hexagonal axes)
Inequivalent atoms, fractional coordinates:
1 Co 0.0000 0.0000 0.0000 x3  6 Rh 2.58, 6 Co 2.70
2 Rh 0.0000 0.0000 0.2535 x6  3 Co 2.58, 9 Rh 2.70-2.72
3 Rh 0.0000 0.0000 0.5000 x3  12 Rh 2.70-2.72

## Properties
The calculation puts the formation energy at 0.08 eV/atom. Its crystal system is trigonal. The calculation puts the density of states at the Fermi level at 1.466 states/eV/atom.


Entry 7:
Computed, not measured: crystalline Co3Rh at its relaxed geometry at the PBE-GGA level of DFT.

abc: 4.4938 8.2823 5.1536
angles: 90.00 90.00 90.00
Last column: nearest neighbours and their distance in Å.
Space group Pnma (No. 62)
Inequivalent atoms, fractional coordinates:
1 Co 0.0819 0.2500 0.1255 x4  8 Co 2.50-2.59, 4 Rh 2.54-2.62
2 Co 0.2398 0.5039 0.8698 x8  9 Co 2.50-2.70, 3 Rh 2.54-2.59
3 Rh 0.0763 0.2500 0.6179 x4  10 Co 2.54-2.62, 2 Rh 2.63

## Properties
The calculation puts the formation energy at 0.04 eV/atom. Its crystal system is orthorhombic. The calculation puts the density of states at the Fermi level at 1.204 states/eV/atom.


Entry 8:
Computed, not measured: crystalline Co2Rh at its relaxed geometry at the PBE-GGA level of DFT.

abc: 3.6287 11.0174 3.6895
angles: 90.00 90.00 90.00
Last column: nearest neighbours and their distance in Å.
Space group Cmcm (No. 63)
Inequivalent atoms, fractional coordinates:
1 Co 0.0000 0.0894 0.2500 x4  6 Co 2.54-2.70, 6 Rh 2.59-2.66
2 Co 0.0000 0.2498 0.7500 x4  8 Co 2.54-2.59, 4 Rh 2.55-2.58
3 Rh 0.0000 0.4132 0.2500 x4  10 Co 2.55-2.66, 2 Rh 2.66

## Properties
The calculation puts the formation energy at 0.06 eV/atom. Its crystal system is orthorhombic. The calculation puts the density of states at the Fermi level at 1.552 states/eV/atom.


Entry 9:
Computed, not measured: crystalline Co4Rh at its relaxed geometry at the PBE-GGA level of DFT.

abc: 8.4508 2.5873 6.2402
angles: 90.00 120.41 90.00
Last column: nearest neighbours and their distance in Å.
Space group C2/m (No. 12)
Inequivalent atoms, fractional coordinates:
1 Co 0.1042 0.0000 0.4114 x4  10 Co 2.46-2.59, 2 Rh 2.60
2 Co 0.1935 0.5000 0.7907 x4  9 Co 2.46-2.62, 3 Rh 2.56-2.58
3 Rh 0.0000 0.5000 0.0000 x2  10 Co 2.56-2.60, 2 Rh 2.59

## Properties
The calculation puts the formation energy at 0.05 eV/atom. Its crystal system is monoclinic. The value obtained for the relative energy among the computed polymorphs is 0.036 eV/f.u. The calculation puts the density of states at the Fermi level at 1.207 states/eV/atom.


Entry 10:
Computed, not measured: crystalline CoRuRh2 at its relaxed geometry at the PBE-GGA level of DFT.

abc: 4.5247 4.5247 2.7109
angles: 90.00 90.00 90.00
Last column: nearest neighbours and their distance in Å.
Space group P4/mmm (No. 123)
Inequivalent atoms, fractional coordinates:
1 Co 0.0000 0.0000 0.0000 x1  8 Rh 2.64, 2 Co 2.71
2 Ru 0.5000 0.5000 0.0000 x1  8 Rh 2.64, 2 Ru 2.71
3 Rh 0.0000 0.5000 0.5000 x2  4 Co 2.64, 4 Ru 2.64, 2 Rh 2.71

## Properties
The calculation puts the formation energy at 0.32 eV/atom. Its crystal system is tetragonal. The value obtained for the relative energy among the computed polymorphs is 1.008 eV/f.u. The calculation puts the density of states at the Fermi level at 1.557 states/eV/atom.


Entry 11:
Computed, not measured: crystalline CoRuRh2 at its relaxed geometry at the PBE-GGA level of DFT.

abc: 2.6875 3.7535 5.3087
angles: 90.00 90.00 90.00
Last column: nearest neighbours and their distance in Å.
Space group Pmmm (No. 47)
Inequivalent atoms, fractional coordinates:
1 Co 0.0000 0.0000 0.0000 x1  8 Rh 2.65, 2 Ru 2.65, 2 Co 2.69
2 Ru 0.0000 0.0000 0.5000 x1  2 Co 2.65, 8 Rh 2.67, 2 Ru 2.69
3 Rh 0.5000 0.5000 0.2454 x2  4 Rh 2.61-2.70, 4 Co 2.65, 4 Ru 2.67

## Properties
The calculation puts the formation energy at 0.07 eV/atom. Its crystal system is orthorhombic. The value obtained for the relative energy among the computed polymorphs is 0.026 eV/f.u. The calculation puts the density of states at the Fermi level at 1.287 states/eV/atom.


Entry 12:
Computed, not measured: crystalline CoRuRh3 at its relaxed geometry at the PBE-GGA level of DFT.

abc: 4.4129 4.4129 4.4129
angles: 90.00 90.00 90.00
Last column: nearest neighbours and their distance in Å.
Space group Pm-3m (No. 221)
Inequivalent atoms, fractional coordinates:
1 Co 0.0000 0.0000 0.0000 x1  6 Rh 2.21
2 Ru 0.5000 0.5000 0.5000 x1  12 Rh 3.12
3 Rh 0.0000 0.0000 0.5000 x3  2 Co 2.21

## Properties
The calculation puts the formation energy at 1.33 eV/atom. Its crystal system is cubic. The value obtained for the relative energy among the computed polymorphs is 4.139 eV/f.u. The calculation puts the density of states at the Fermi level at 1.992 states/eV/atom.


Entry 13:
Computed, not measured: crystalline CoRuRh2 at its relaxed geometry at the PBE-GGA level of DFT.

abc: 2.6929 2.6929 25.8147
angles: 90.00 90.00 120.00
Last column: nearest neighbours and their distance in Å.
Space group R3m (No. 160, hexagonal axes)
Inequivalent atoms, fractional coordinates:
1 Co 0.0000 0.0000 0.0000 x3  3 Rh 2.59, 3 Ru 2.59, 6 Co 2.69
2 Ru 0.0000 0.0000 0.2530 x3  3 Co 2.59, 3 Rh 2.67, 6 Ru 2.69
3 Rh 0.0000 0.0000 0.5020 x3  3 Ru 2.67, 9 Rh 2.69-2.76
4 Rh 0.0000 0.0000 0.7469 x3  3 Co 2.59, 9 Rh 2.69-2.76

## Properties
The calculation puts the formation energy at 0.12 eV/atom. Its crystal system is trigonal. The value obtained for the relative energy among the computed polymorphs is 0.210 eV/f.u. The calculation puts the density of states at the Fermi level at 1.689 states/eV/atom.


Entry 14:
Computed, not measured: crystalline CoRu3Rh at its relaxed geometry at the PBE-GGA level of DFT.

abc: 4.3318 4.3318 4.3318
angles: 90.00 90.00 90.00
Last column: nearest neighbours and their distance in Å.
Space group Pm-3m (No. 221)
Inequivalent atoms, fractional coordinates:
1 Co 0.0000 0.0000 0.0000 x1  6 Ru 2.17
2 Ru 0.0000 0.0000 0.5000 x3  2 Co 2.17
3 Rh 0.5000 0.5000 0.5000 x1  12 Ru 3.06

## Properties
The calculation puts the formation energy at 1.49 eV/atom. Its crystal system is cubic. The value obtained for the relative energy among the computed polymorphs is 0.000 eV/f.u. The calculation puts the density of states at the Fermi level at 1.991 states/eV/atom.